(1)
Here is a relaxed CdTeAu crystal from Alexandria via LeMat-Bulk. Energies are from GGA-PBE.

```
CdTeAu
1.0
4.2290 0.0000 0.0000
0.5973 4.3228 0.0000
0.0375 1.0026 4.3139
Cd Te Au
1 1 1
direct
0.0000 0.0000 0.0000
0.4688 0.2318 0.3959
0.5513 0.6343 0.8084
```

energy relative to the lowest polymorph listed for this composition	2.91	kcal/mol of atoms
density	9.201	g/cm3
uncorrected energy	-2.490	eV/atom
formation energy without anion corrections	-4	kJ/mol of atoms

(2)
Here is a relaxed PuBr2F8 crystal from Alexandria via LeMat-Bulk. Energies are from GGA-PBE.

```
PuBr2F8
1.0
6.0183 0.0000 0.0000
-0.0058 6.0682 0.0000
-2.9969 -0.7103 6.0790
Pu Br F
1 2 8
direct
0.0000 0.0000 0.0000
0.2582 0.4925 0.5165
0.7418 0.5075 0.4835
0.0945 0.3360 0.1881
0.1321 0.0970 0.7952
0.3355 0.9024 0.2050
0.3969 0.6322 0.7952
0.6031 0.3678 0.2048
0.6645 0.0976 0.7950
0.8679 0.9030 0.2048
0.9055 0.6640 0.8119
```

density	4.157	g/cm3
uncorrected energy	-4.977	eV/atom
formation energy without anion corrections	-194	kJ/mol of atoms

(3)
Here is a relaxed Tb2Sm5Th2 crystal from Alexandria via LeMat-Bulk. Energies are from GGA-PBE.

```
Tb2Sm5Th2
1.0
11.6861 -1.7504 0.0000
11.6861 1.7504 0.0000
-1.7146 0.0000 8.0424
Tb Sm Th
2 5 2
direct
0.1598 0.1598 0.1825
0.8402 0.8402 0.8175
0.0000 0.0000 0.0000
0.0909 0.0909 0.7386
0.3046 0.3046 0.4369
0.6954 0.6954 0.5631
0.9091 0.9091 0.2614
0.4486 0.4486 0.6322
0.5514 0.5514 0.3678
```

energy of formation	0.286	eV per atom
density	7.741	g/cm3
uncorrected energy	-5.014	eV/atom

(4)
Here is a relaxed FePt2 crystal from Alexandria via LeMat-Bulk. Energies are from GGA-PBE.

```
FePt2
1.0
6.1540 0.0000 0.0000
0.0000 6.1540 0.0000
0.0000 0.0000 4.7446
Fe Pt
4 8
direct
0.0000 0.0000 0.2500
0.0000 0.0000 0.7500
0.5000 0.5000 0.2500
0.5000 0.5000 0.7500
0.1535 0.3465 0.0000
0.1535 0.6535 0.5000
0.3465 0.1535 0.5000
0.3465 0.8465 0.0000
0.6535 0.1535 0.0000
0.6535 0.8465 0.5000
0.8465 0.3465 0.5000
0.8465 0.6535 0.0000
```

energy of formation	-0.031	eV per atom
density	16.487	g/cm3
uncorrected energy	-6.879	eV/atom